[1]
Computed, not measured: a relaxed structure of Sr2SiH at the GGA-PBEsol level of DFT. Values from VASP.

Volume   98.3 Å³ per cell
Uncorrected energy   -13.200 eV per cell

```
&SYSTEM
  ibrav = 0, nat = 4, ntyp = 3
/
ATOMIC_SPECIES
Sr 87.62 Sr.upf
Si 28.09 Si.upf
H 1.01 H.upf
CELL_PARAMETERS angstrom
5.1803 0.0000 0.0000
2.5902 4.4863 0.0000
2.5902 1.4954 4.2297
ATOMIC_POSITIONS crystal
Sr 0.2500 0.2500 0.2500
Sr 0.7500 0.7500 0.7500
Si 0.5000 0.5000 0.5000
H 0.0000 0.0000 0.0000
```

=====

[2]
Computed, not measured: a relaxed structure of Si2TcH at the GGA-PBEsol level of DFT. Values from VASP.

Volume   95.5 Å³ per cell
Uncorrected energy   -48.400 eV per cell

```
&SYSTEM
  ibrav = 0, nat = 8, ntyp = 3
/
ATOMIC_SPECIES
H 1.01 H.upf
Si 28.09 Si.upf
Tc 98.00 Tc.upf
CELL_PARAMETERS angstrom
-0.9853 -1.2860 -4.0699
0.4201 -4.1859 1.2210
-4.5410 2.6046 2.6338
ATOMIC_POSITIONS crystal
H 0.7500 0.2500 0.5000
H 0.5000 0.5000 0.0000
Si 0.7285 0.3750 0.2500
Si 0.5215 0.8750 0.2500
Si 0.6250 0.4785 0.7500
Si 0.1250 0.2715 0.7500
Tc 0.2500 0.7500 0.5000
Tc 0.0000 0.0000 0.0000
```

=====

[3]
Computed, not measured: a relaxed structure of SiTe3H at the GGA-PBEsol level of DFT. Values from VASP.

Volume   143.4 Å³ per cell
Uncorrected energy   -15.174 eV per cell

```
&SYSTEM
  ibrav = 0, nat = 5, ntyp = 3
/
ATOMIC_SPECIES
H 1.01 H.upf
Si 28.09 Si.upf
Te 127.60 Te.upf
CELL_PARAMETERS angstrom
5.2344 0.0000 0.0000
0.0000 5.2344 0.0000
0.0000 0.0000 5.2344
ATOMIC_POSITIONS crystal
H 0.5000 0.5000 0.5000
Si 0.0000 0.0000 0.0000
Te 0.0000 0.5000 0.0000
Te 0.0000 0.0000 0.5000
Te 0.5000 0.0000 0.0000
```

=====

[4]
Computed, not measured: a relaxed structure of Ti2SiH at the GGA-PBEsol level of DFT. Values from VASP.

Volume   51.1 Å³ per cell
E above lowest polymorph   340 meV/atom
Uncorrected energy   -26.262 eV per cell

```
&SYSTEM
  ibrav = 0, nat = 4, ntyp = 3
/
ATOMIC_SPECIES
H 1.01 H.upf
Si 28.09 Si.upf
Ti 47.87 Ti.upf
CELL_PARAMETERS angstrom
-1.0803 -3.9173 0.9159
1.9784 -3.1847 -1.8151
2.5689 -2.4010 2.2331
ATOMIC_POSITIONS crystal
H 0.0000 0.0000 0.0000
Si 0.5000 0.5000 0.5000
Ti 0.2500 0.2500 0.2500
Ti 0.7500 0.7500 0.7500
```

=====

[5]
Computed, not measured: a relaxed structure of Ti2SiH at the GGA-PBEsol level of DFT. Values from VASP.

Volume   97.3 Å³ per cell
E above lowest polymorph   0 meV/atom
Uncorrected energy   -55.245 eV per cell

```
&SYSTEM
  ibrav = 0, nat = 8, ntyp = 3
/
ATOMIC_SPECIES
H 1.01 H.upf
Si 28.09 Si.upf
Ti 47.87 Ti.upf
CELL_PARAMETERS angstrom
-4.4890 -2.0241 0.9739
3.5531 -1.8790 3.0069
-0.2850 4.9515 0.7739
ATOMIC_POSITIONS crystal
H 0.5000 0.5000 0.0000
H 0.7500 0.2500 0.5000
Si 0.0000 0.0000 0.0000
Si 0.2500 0.7500 0.5000
Ti 0.7942 0.8750 0.4192
Ti 0.4558 0.3750 0.5808
Ti 0.1250 0.5442 0.9192
Ti 0.6250 0.2058 0.0808
```

=====

[6]
Computed, not measured: a relaxed structure of Y2SiH2 at the GGA-PBEsol level of DFT. Values from VASP.

Volume   75.4 Å³ per cell
Uncorrected energy   -29.619 eV per cell

```
&SYSTEM
  ibrav = 0, nat = 5, ntyp = 3
/
ATOMIC_SPECIES
Y 88.91 Y.upf
H 1.01 H.upf
Si 28.09 Si.upf
CELL_PARAMETERS angstrom
3.5550 0.0000 0.0000
0.0000 3.5550 0.0000
-1.7775 -1.7775 5.9622
ATOMIC_POSITIONS crystal
Y 0.3605 0.3605 0.7211
Y 0.6395 0.6395 0.2789
H 0.2500 0.7500 0.5000
H 0.7500 0.2500 0.5000
Si 0.0000 0.0000 0.0000
```

=====

[7]
Computed, not measured: a relaxed structure of Y5Si3H at the GGA-PBEsol level of DFT. Values from VASP.

Volume   374.5 Å³ per cell
Uncorrected energy   -123.511 eV per cell

```
&SYSTEM
  ibrav = 0, nat = 18, ntyp = 3
/
ATOMIC_SPECIES
H 1.01 H.upf
Si 28.09 Si.upf
Y 88.91 Y.upf
CELL_PARAMETERS angstrom
-1.3538 4.9131 3.4593
-7.7344 0.1366 -3.2210
1.5757 -4.4433 6.9273
ATOMIC_POSITIONS crystal
H 0.5000 0.0000 0.0000
H 0.0000 0.0000 0.0000
Si 0.7500 0.3893 0.3893
Si 0.7500 0.0000 0.6107
Si 0.7500 0.6107 0.0000
Si 0.2500 0.6107 0.6107
Si 0.2500 0.0000 0.3893
Si 0.2500 0.3893 0.0000
Y 0.0000 0.6667 0.3333
Y 0.5000 0.3333 0.6667
Y 0.0000 0.3333 0.6667
Y 0.5000 0.6667 0.3333
Y 0.7500 0.7503 0.7503
Y 0.7500 0.0000 0.2497
Y 0.7500 0.2497 0.0000
Y 0.2500 0.2497 0.2497
Y 0.2500 0.0000 0.7503
Y 0.2500 0.7503 0.0000
```

=====

[8]
Computed, not measured: a relaxed structure of Zn3SiH at the GGA-PBEsol level of DFT. Values from VASP.

Volume   62.5 Å³ per cell
Uncorrected energy   -12.000 eV per cell

```
&SYSTEM
  ibrav = 0, nat = 5, ntyp = 3
/
ATOMIC_SPECIES
H 1.01 H.upf
Zn 65.41 Zn.upf
Si 28.09 Si.upf
CELL_PARAMETERS angstrom
3.9692 0.0000 0.0000
0.0000 3.9692 0.0000
0.0000 0.0000 3.9692
ATOMIC_POSITIONS crystal
H 0.0000 0.0000 0.0000
Zn 0.0000 0.5000 0.0000
Zn 0.0000 0.0000 0.5000
Zn 0.5000 0.0000 0.0000
Si 0.5000 0.5000 0.5000
```